1.
YInGe2Cl: relaxed, PBE.

abc: 5.621 5.168 5.621
angles: 90.00 90.00 90.00
Fractional positions:
Ge: 0.500 0.000 0.000
Ge: 0.000 0.000 0.500
Y: 0.000 0.000 0.000
In: 0.500 0.500 0.500
Cl: 0.000 0.500 0.000

As for the total moment: 0.0 μB per cell. The value obtained for the total energy is -4.028 eV per atom. As for the symmetry: P4/mmm (123).

2.
Na2CdAgH: relaxed, PBE.

abc: 4.531 4.531 4.629
angles: 90.00 90.00 90.00
Fractional positions:
Cd: 0.000 0.000 0.500
Na: 0.000 0.500 0.000
Na: 0.500 0.000 0.000
H: 0.000 0.000 0.000
Ag: 0.500 0.500 0.500

As for the total moment: 0.0 μB per cell. The value obtained for the total energy is -1.916 eV per atom. As for the symmetry: P4/mmm (123).

3.
PmMg3Hg: relaxed, PBE.

abc: 4.294 9.429 12.541
angles: 90.00 90.00 90.00
Fractional positions:
Pm: 0.250 0.669 0.498
Pm: 0.750 0.331 0.502
Pm: 0.750 0.831 0.998
Pm: 0.250 0.169 0.002
Hg: 0.250 0.137 0.628
Hg: 0.250 0.637 0.872
Hg: 0.750 0.363 0.128
Hg: 0.750 0.863 0.372
Mg: 0.750 0.938 0.591
Mg: 0.250 0.351 0.290
Mg: 0.750 0.592 0.282
Mg: 0.250 0.408 0.718
Mg: 0.750 0.438 0.909
Mg: 0.750 0.149 0.790
Mg: 0.250 0.562 0.091
Mg: 0.250 0.062 0.409
Mg: 0.250 0.908 0.782
Mg: 0.750 0.092 0.218
Mg: 0.750 0.649 0.710
Mg: 0.250 0.851 0.210

As for the total moment: 0.0 μB per cell. The formation energy is -0.20 eV per atom. The value obtained for the total energy is -2.163 eV per atom. As for the symmetry: Pnma (62).

4.
AgRuAu4: relaxed, PBE.

abc: 5.445 5.445 5.445
angles: 60.00 60.00 60.00
Last column: magnetic moment on the atom in μB.
Fractional positions:
Au: 0.375 0.375 0.375  0.04
Au: 0.375 0.375 0.875  0.04
Au: 0.375 0.875 0.375  0.04
Au: 0.875 0.375 0.375  0.04
Ag: 0.000 0.000 0.000  0.02
Ru: 0.750 0.750 0.750  2.29

As for the total moment: 2.6 μB per cell. The formation energy is 0.50 eV per atom. The value obtained for the total energy is -3.708 eV per atom. As for the symmetry: F-43m (216).

5.
SrBe2Tc: relaxed, PBE.

abc: 3.954 3.954 5.947
angles: 71.34 71.34 57.39
Fractional positions:
Be: 0.679 0.679 0.951
Be: 0.018 0.018 0.965
Sr: 0.491 0.491 0.507
Tc: 0.311 0.311 0.077

As for the total moment: 0.0 μB per cell. The formation energy is 0.19 eV per atom. The value obtained for the total energy is -4.683 eV per atom. As for the symmetry: Cm (8).

6.
BAuI: relaxed, PBE.

abc: 3.633 3.636 6.400
angles: 88.92 75.96 60.02
Fractional positions:
Au: 0.018 0.667 0.987
I: 0.938 0.222 0.525
B: 0.745 0.307 0.876

As for the total moment: 0.0 μB per cell. The value obtained for the total energy is -3.325 eV per atom. As for the symmetry: P1 (1).

7.
K4Ce3ScS8: relaxed, PBE.

abc: 8.243 8.761 8.243
angles: 118.07 120.00 89.99
Last column: magnetic moment on the atom in μB.
Fractional positions:
S: 0.750 0.700 0.975  -0.01
S: 0.775 0.300 0.025  -0.01
S: 0.250 0.300 0.025  -0.01
S: 0.264 0.290 0.527  -0.02
S: 0.775 0.300 0.550  -0.01
S: 0.225 0.700 0.450  -0.01
S: 0.736 0.710 0.473  -0.02
S: 0.225 0.700 0.975  -0.01
K: 0.500 0.000 0.500  0.00
K: 0.000 0.000 0.000  0.00
K: 0.500 0.000 0.000  0.00
K: 0.000 0.000 0.500  0.00
Sc: 0.000 0.500 0.000  0.09
Ce: 0.000 0.500 0.500  0.91
Ce: 0.500 0.500 0.500  0.91
Ce: 0.500 0.500 0.000  0.91

As for the total moment: 3.0 μB per cell. The value obtained for the total energy is -5.609 eV per atom. As for the symmetry: R-3m (166).

- Which of these has the highest total moment?
  K4Ce3ScS8

- The highest total moment belongs to which entry?
  K4Ce3ScS8

- Which value of total moment does entry 3 give?
  0.0 μB per cell

What did the sixth record say?
BAuI: relaxed, PBE.

abc: 3.633 3.636 6.400
angles: 88.92 75.96 60.02
Fractional positions:
Au: 0.018 0.667 0.987
I: 0.938 0.222 0.525
B: 0.745 0.307 0.876

As for the total moment: 0.0 μB per cell. The value obtained for the total energy is -3.325 eV per atom. As for the symmetry: P1 (1).